! TcIr2Rh (meta-GGA SCAN, PBEsol geometry); values from VASP
&SYSTEM
  ibrav = 0, nat = 4, ntyp = 3
/
ATOMIC_SPECIES
Tc 98.00 Tc.upf
Ir 192.22 Ir.upf
Rh 102.91 Rh.upf
CELL_PARAMETERS angstrom
4.473 -1.343 0.000
4.473 1.343 0.000
-0.801 0.000 4.603
ATOMIC_POSITIONS angstrom
Tc 0.000 0.000 0.000
Ir 1.656 0.000 3.463
Ir 6.489 0.000 1.139
Rh 4.073 0.000 2.301
! E above lowest polymorph, meV/atom: 41
! Calculated formation energy, eV/f.u.: -0.5
! Calculated total energy, eV/atom: -52.89
! Spin magnetization, μB per atom: 0.00

=====

! TaCu2Mo (meta-GGA SCAN, PBEsol geometry); values from VASP
&SYSTEM
  ibrav = 0, nat = 4, ntyp = 3
/
ATOMIC_SPECIES
Ta 180.95 Ta.upf
Cu 63.55 Cu.upf
Mo 95.94 Mo.upf
CELL_PARAMETERS angstrom
-1.903 1.903 3.837
1.903 -1.903 3.837
1.903 1.903 -3.837
ATOMIC_POSITIONS angstrom
Ta 0.000 0.000 0.000
Cu 1.903 0.000 1.918
Cu 0.000 1.903 1.918
Mo 0.000 0.000 3.837
! E above lowest polymorph, meV/atom: 0
! Calculated formation energy, eV/f.u.: 0.5
! Calculated total energy, eV/atom: -32.83
! Spin magnetization, μB per atom: 0.00

=====

! MnBe4Ir (meta-GGA SCAN, PBEsol geometry); values from VASP
&SYSTEM
  ibrav = 0, nat = 6, ntyp = 3
/
ATOMIC_SPECIES
Mn 54.94 Mn.upf
Be 9.01 Be.upf
Ir 192.22 Ir.upf
CELL_PARAMETERS angstrom
0.000 3.013 3.013
3.013 0.000 3.013
3.013 3.013 0.000
ATOMIC_POSITIONS angstrom
Mn 0.000 0.000 0.000
Be 2.255 2.255 2.255
Be 3.770 3.770 2.255
Be 3.770 2.255 3.770
Be 2.255 3.770 3.770
Ir 4.519 4.519 4.519
! Calculated formation energy, eV/f.u.: -3.6
! Calculated total energy, eV/atom: -18.39
! Spin magnetization, μB per atom: 0.64